CoHgBi2 | PBE | relaxed

Cell lengths 6.485, 6.485, 12.128 Å; angles 90.00, 90.00, 90.00 degrees
Positions (direct):
Co (0.000, 0.000, 0.000)
Co (0.000, 0.500, 0.250)
Co (0.500, 0.000, 0.750)
Co (0.500, 0.500, 0.500)
Hg (0.000, 0.000, 0.500)
Hg (0.000, 0.500, 0.750)
Hg (0.500, 0.000, 0.250)
Hg (0.500, 0.500, 0.000)
Bi (0.169, 0.250, 0.125)
Bi (0.250, 0.669, 0.375)
Bi (0.250, 0.831, 0.875)
Bi (0.331, 0.250, 0.625)
Bi (0.669, 0.750, 0.625)
Bi (0.750, 0.169, 0.875)
Bi (0.750, 0.331, 0.375)
Bi (0.831, 0.750, 0.125)

Output
- DFT total energy (eV per cell) = -54.13
- DOS(E_F) (states/eV/cell) = 15.379
- SG = I-42d
- formation energy from the elements (meV/atom) = 409.3
- volume (Å³/f.u.) = 127.5